No. 1
Material: Tb8ScIn6
Method: DFT, PBE
State: relaxed

Unit cell a=8.9704 b=8.9704 c=19.4709 alpha=90.00 beta=90.00 gamma=120.00
Space group R-3 (No. 148, hexagonal axes)
One atom of each set of equivalent atoms:
Tb (0.0000, 0.0000, 0.1651)
Tb (0.0014, 0.6637, 0.3864)
Sc (0.0000, 0.0000, 0.5000)
In (0.0002, 0.3231, 0.4431)

Computed properties:
ΔE_f, eV per atom: -0.211



No. 2
Material: BaHoTlZn
Method: DFT, PBE
State: relaxed

Unit cell a=7.9062 b=7.9062 c=7.9062 alpha=90.00 beta=90.00 gamma=90.00
Space group F-43m (No. 216)
One atom of each set of equivalent atoms:
Ba (0.0000, 0.0000, 0.0000)
Ho (0.0000, 0.0000, 0.5000)
Tl (0.2500, 0.2500, 0.7500)
Zn (0.2500, 0.2500, 0.2500)

Computed properties:
ΔE_f, eV per atom: -0.160